DFT (GGA-PBE) results for crystalline La at its relaxed geometry.

The structure in POSCAR format:
```
La
1.0
1.5124 4.3201 0.6396
0.3273 -1.9697 -4.1681
-3.0986 3.4553 0.6861
La
2
Direct
0.2370 0.7630 0.2891
0.7630 0.2370 0.7109
```

Summary:
DFT formation energy   47.2 kJ/mol of formula units
Polymorph energy (0 for the lowest one)   489.2 meV/atom
SG   R-3m, No. 166

---

DFT (GGA-PBE) results for crystalline La at its relaxed geometry.

The structure in POSCAR format:
```
La
1.0
2.1139 2.1139 2.1139
2.1139 -2.1139 -2.1139
-2.1139 2.1139 -2.1139
La
1
Direct
0.0000 0.0000 0.0000
```

Summary:
DFT formation energy   11.4 kJ/mol of formula units
Polymorph energy (0 for the lowest one)   118.4 meV/atom
SG   Im-3m, No. 229

---

DFT (GGA-PBE) results for crystalline La at its relaxed geometry.

The structure in POSCAR format:
```
La
1.0
-0.4477 -3.4399 -1.3765
-2.8680 2.3880 -0.0266
2.9024 0.5735 -2.2750
La
1
Direct
0.0000 0.0000 0.0000
```

Summary:
DFT formation energy   0.0 kJ/mol of formula units
Polymorph energy (0 for the lowest one)   0.1 meV/atom
SG   I4/mmm, No. 139

---

DFT (GGA-PBE) results for crystalline Li2LaLuNi2Sn2 at its relaxed geometry.

The structure in POSCAR format:
```
Li2LaLuNi2Sn2
1.0
4.6674 0.0000 0.0000
0.0000 4.6674 0.0000
0.0000 0.0000 6.6166
Lu Ni Sn Li La
1 2 2 2 1
Direct
0.0000 0.0000 0.0000
0.0000 0.5000 0.2358
0.5000 0.0000 0.7642
0.5000 0.5000 0.0000
0.0000 0.0000 0.5000
0.0000 0.5000 0.7561
0.5000 0.0000 0.2439
0.5000 0.5000 0.5000
```

Summary:
E   -4.588 eV per atom
SG   P-4m2, No. 115

---

DFT (GGA-PBE) results for crystalline Li2LaMgNi2Sn2 at its relaxed geometry.

The structure in POSCAR format:
```
Li2LaMgNi2Sn2
1.0
-2.7072 -0.2006 3.7540
1.4800 -4.3094 0.8370
4.9520 2.4194 3.7004
Ni La Li Sn Mg
2 1 2 2 1
Direct
0.0000 0.5000 0.2678
0.5000 0.0000 0.7322
0.0000 0.0000 0.0000
0.5000 0.0000 0.2824
0.0000 0.5000 0.7176
0.5000 0.5000 0.0000
0.0000 0.0000 0.5000
0.5000 0.5000 0.5000
```

Summary:
E   -4.059 eV per atom
SG   P-4m2, No. 115

---

DFT (GGA-PBE) results for crystalline LiLaMoOs at its relaxed geometry.

The structure in POSCAR format:
```
LiLaMoOs
1.0
2.0495 -3.1634 2.6353
-1.1155 -4.4393 -0.4481
3.0001 -2.9486 -1.8595
Mo La Os Li
1 1 1 1
Direct
0.0000 0.0000 0.0000
0.2500 0.2500 0.2500
0.5000 0.5000 0.5000
0.7500 0.7500 0.7500
```

Summary:
Polymorph energy (0 for the lowest one)   414.5 meV/atom
SG   F-43m, No. 216

---

DFT (GGA-PBE) results for crystalline LiLaMoOs at its relaxed geometry.

The structure in POSCAR format:
```
LiLaMoOs
1.0
-0.2058 -3.7479 -2.7135
-4.1067 -1.8268 -1.1182
-1.5934 0.3632 -4.3338
Mo Li Os La
1 1 1 1
Direct
0.2500 0.2500 0.2500
0.7500 0.7500 0.7500
0.5000 0.5000 0.5000
0.0000 0.0000 0.0000
```

Summary:
Polymorph energy (0 for the lowest one)   0.0 meV/atom
SG   F-43m, No. 216

---

DFT (GGA-PBE) results for crystalline LiLaMoOs at its relaxed geometry.

The structure in POSCAR format:
```
LiLaMoOs
1.0
0.0000 3.3334 3.3334
3.3334 0.0000 3.3334
3.3334 3.3334 0.0000
Mo La Os Li
1 1 1 1
Direct
0.0000 0.0000 0.0000
0.5000 0.5000 0.5000
0.2500 0.2500 0.2500
0.7500 0.7500 0.7500
```

Summary:
Polymorph energy (0 for the lowest one)   92.7 meV/atom
SG   F-43m, No. 216

---

DFT (GGA-PBE) results for crystalline LiLaNb at its relaxed geometry.

The structure in POSCAR format:
```
LiLaNb
1.0
2.3859 1.3775 3.8961
-2.3859 1.3775 3.8961
0.0000 -2.7549 3.8961
La Li Nb
1 1 1
Direct
0.2500 0.2500 0.2500
0.7500 0.7500 0.7500
0.0000 0.0000 0.0000
```

Summary:
E   -4.596 eV per atom
SG   F-43m, No. 216

---

DFT (GGA-PBE) results for crystalline Li2LaNdSe2O2 at its relaxed geometry.

The structure in POSCAR format:
```
Li2LaNdSe2O2
1.0
-1.9581 -3.5060 -0.5444
1.8540 -0.4809 -3.5712
6.7321 -4.3944 4.0868
Li Nd O Se La
2 1 2 2 1
Direct
0.5000 0.0000 0.5006
0.0000 0.5000 0.5006
0.5000 0.5000 0.8667
0.5000 0.0000 0.9980
0.0000 0.5000 0.9980
0.5000 0.5000 0.3298
0.0000 0.0000 0.6727
0.0000 0.0000 0.1336
```

Summary:
E   -6.200 eV per atom
SG   P4mm, No. 99

---

DFT (GGA-PBE) results for crystalline Li3LaNd2Pb3 at its relaxed geometry.

The structure in POSCAR format:
```
Li3LaNd2Pb3
1.0
-2.7696 2.6597 -2.9295
-1.5298 -4.3297 1.4967
-5.0545 5.0101 9.3272
Li Pb Nd La
3 3 2 1
Direct
0.6667 0.3333 0.8049
0.6667 0.3333 0.1951
0.0000 0.0000 0.5000
0.0000 0.0000 0.8215
0.0000 0.0000 0.1785
0.6667 0.3333 0.5000
0.3333 0.6667 0.3384
0.3333 0.6667 0.6616
0.3333 0.6667 0.0000
```

Summary:
E   -3.999 eV per atom
SG   P-6m2, No. 187

---

DFT (GGA-PBE) results for crystalline Li2LaNi2 at its relaxed geometry.

The structure in POSCAR format:
```
Li2LaNi2
1.0
5.0282 1.8382 -0.6808
-0.6657 5.0063 1.9023
-1.3400 -4.5324 2.6052
Li Ni La
2 2 1
Direct
0.3567 0.3567 0.0000
0.6433 0.6433 0.0000
0.0000 0.5000 0.5000
0.5000 0.0000 0.5000
0.0000 0.0000 0.0000
```

Summary:
E   -3.597 eV per atom
SG   I4/mmm, No. 139

---

Q: Which magnetization values were calculated for the entries above? A: 0.0142 0.5829 0.0130 0.0002 0.0005 0.1245 0.0003 0.1132 0.5417 0.0001 0.0011 0.0009, in μB/atom.